The following is a DFT calculation (PBE) of a geometry-optimized Mo2Au structure.

a = 5.2585 Å, b = 5.2585 Å, c = 8.5309 Å
α = 90.00°, β = 90.00°, γ = 120.00°
Fractional positions:
1 Mo 0.0000 0.0000 0.0000
2 Mo 0.0000 0.0000 0.5000
3 Mo 0.1704 0.3408 0.2500
4 Mo 0.1704 0.8296 0.2500
5 Mo 0.3408 0.1704 0.7500
6 Mo 0.6592 0.8296 0.2500
7 Mo 0.8296 0.1704 0.7500
8 Mo 0.8296 0.6592 0.7500
9 Au 0.3333 0.6667 0.5689
10 Au 0.3333 0.6667 0.9311
11 Au 0.6667 0.3333 0.0689
12 Au 0.6667 0.3333 0.4311

Total magnetization in μB per atom: 0.000
Energy above the most stable polymorph in this dataset in eV/f.u.: 0.62
Symmetry: P6_3/mmc (194)
Theoretical density in g/cm3: 12.643

The following is a DFT calculation (PBE) of a geometry-optimized MoAu structure.

a = 2.9826 Å, b = 10.5826 Å, c = 6.8969 Å
α = 90.00°, β = 90.00°, γ = 90.00°
Fractional positions:
1 Mo 0.2500 0.0063 0.1428
2 Mo 0.2500 0.2500 0.1272
3 Mo 0.2500 0.4937 0.1428
4 Mo 0.7500 0.5063 0.8572
5 Mo 0.7500 0.7500 0.8728
6 Mo 0.7500 0.9937 0.8572
7 Au 0.2500 0.1169 0.5054
8 Au 0.2500 0.3831 0.5054
9 Au 0.2500 0.7500 0.2002
10 Au 0.7500 0.2500 0.7998
11 Au 0.7500 0.6169 0.4946
12 Au 0.7500 0.8831 0.4946

Total magnetization in μB per atom: 0.000
Uncorrected energy in eV per cell: -78.25
Symmetry: Pmmn (59)
Theoretical density in g/cm3: 13.406

The following is a DFT calculation (PBE) of a geometry-optimized MoAu5 structure.

a = 4.8262 Å, b = 2.8338 Å, c = 15.4826 Å
α = 90.00°, β = 90.00°, γ = 90.00°
Fractional positions:
1 Mo 0.0000 0.0000 0.0000
2 Mo 0.0000 0.5000 0.5000
3 Au 0.0000 0.0000 0.3375
4 Au 0.0000 0.0000 0.6628
5 Au 0.0000 0.5000 0.1628
6 Au 0.0000 0.5000 0.8375
7 Au 0.5000 0.0000 0.1059
8 Au 0.5000 0.0000 0.4435
9 Au 0.5000 0.0000 0.7725
10 Au 0.5000 0.5000 0.2725
11 Au 0.5000 0.5000 0.6059
12 Au 0.5000 0.5000 0.9435

Total magnetization in μB per atom: 0.138
Energy above the most stable polymorph in this dataset in eV/f.u.: 0.01
Symmetry: Amm2 (38)
Theoretical density in g/cm3: 16.951

The following is a DFT calculation (PBE) of a geometry-optimized MoAu structure.

a = 6.4504 Å, b = 6.2766 Å, c = 5.4366 Å
α = 66.38°, β = 63.07°, γ = 50.55°
Fractional positions:
1 Mo 0.0273 0.7227 0.7227
2 Mo 0.2773 0.9727 0.9727
3 Mo 0.7227 0.0273 0.0273
4 Mo 0.9727 0.2773 0.2773
5 Au 0.2060 0.5440 0.2060
6 Au 0.4560 0.7940 0.4560
7 Au 0.5440 0.2060 0.5440
8 Au 0.7940 0.4560 0.7940

Total magnetization in μB per atom: 0.000
Uncorrected energy in eV per cell: -51.27
Symmetry: Fddd (70)
Theoretical density in g/cm3: 13.015

The following is a DFT calculation (PBE) of a geometry-optimized Mo2Au structure.

a = 4.7079 Å, b = 4.7079 Å, c = 2.7035 Å
α = 90.00°, β = 90.00°, γ = 90.00°
Fractional positions:
1 Mo 0.0000 0.5000 0.0000
2 Mo 0.5000 0.0000 0.0000
3 Au 0.0000 0.0000 0.5000

Total magnetization in μB per atom: 0.000
Energy above the most stable polymorph in this dataset in eV/f.u.: 3.39
Symmetry: P4/mmm (123)
Theoretical density in g/cm3: 10.776

The following is a DFT calculation (PBE) of a geometry-optimized Mo2Au structure.

a = 5.5792 Å, b = 4.1709 Å, c = 8.4272 Å
α = 90.00°, β = 90.00°, γ = 90.00°
Fractional positions:
1 Mo 0.1135 0.2500 0.0645
2 Mo 0.1478 0.2500 0.7447
3 Mo 0.3522 0.7500 0.2447
4 Mo 0.3865 0.7500 0.5645
5 Mo 0.6135 0.2500 0.4355
6 Mo 0.6478 0.2500 0.7553
7 Mo 0.8522 0.7500 0.2553
8 Mo 0.8865 0.7500 0.9355
9 Au 0.1160 0.2500 0.4049
10 Au 0.3840 0.7500 0.9049
11 Au 0.6160 0.2500 0.0951
12 Au 0.8840 0.7500 0.5951

Total magnetization in μB per atom: 0.000
Energy above the most stable polymorph in this dataset in eV/f.u.: 0.03
Symmetry: Pnma (62)
Theoretical density in g/cm3: 13.171

The following is a DFT calculation (PBE) of a geometry-optimized MoAu structure.

a = 2.8333 Å, b = 2.8333 Å, c = 9.6038 Å
α = 90.00°, β = 90.00°, γ = 120.00°
Fractional positions:
1 Mo 0.3333 0.6667 0.2500
2 Mo 0.6667 0.3333 0.7500
3 Au 0.0000 0.0000 0.0000
4 Au 0.0000 0.0000 0.5000

Total magnetization in μB per atom: 0.000
Uncorrected energy in eV per cell: -26.84
Symmetry: P6_3/mmc (194)
Theoretical density in g/cm3: 14.570

The following is a DFT calculation (PBE) of a geometry-optimized Mo4Au5 structure.

a = 7.0401 Å, b = 7.0401 Å, c = 7.0401 Å
α = 93.21°, β = 93.21°, γ = 152.64°
Fractional positions:
1 Mo 0.0000 0.3502 0.3502
2 Mo 0.0000 0.6498 0.6498
3 Mo 0.3502 0.0000 0.3502
4 Mo 0.6498 0.0000 0.6498
5 Au 0.0000 0.0000 0.0000
6 Au 0.3321 0.3321 0.6642
7 Au 0.3321 0.6679 0.0000
8 Au 0.6679 0.3321 0.0000
9 Au 0.6679 0.6679 0.3358

Total magnetization in μB per atom: 0.000
Uncorrected energy in eV per cell: -57.73
Symmetry: I4/mmm (139)
Theoretical density in g/cm3: 14.584

The following is a DFT calculation (PBE) of a geometry-optimized MoAu structure.

a = 10.8299 Å, b = 2.8497 Å, c = 6.8072 Å
α = 90.00°, β = 104.84°, γ = 90.00°
Fractional positions:
1 Mo 0.0000 0.0000 0.0000
2 Mo 0.0405 0.0000 0.6436
3 Mo 0.1980 0.5000 0.9585
4 Mo 0.5000 0.5000 0.0000
5 Mo 0.5405 0.5000 0.6436
6 Mo 0.6980 0.0000 0.9585
7 Au 0.1494 0.5000 0.3541
8 Au 0.3201 0.0000 0.6906
9 Au 0.3771 0.0000 0.2775
10 Au 0.6494 0.0000 0.3541
11 Au 0.8201 0.5000 0.6906
12 Au 0.8771 0.5000 0.2775

Total magnetization in μB per atom: 0.000
Uncorrected energy in eV per cell: -82.00
Symmetry: Cm (8)
Theoretical density in g/cm3: 14.371

The following is a DFT calculation (PBE) of a geometry-optimized Mo2Au structure.

a = 2.6436 Å, b = 4.3167 Å, c = 8.6232 Å
α = 90.00°, β = 90.00°, γ = 90.00°
Fractional positions:
1 Mo 0.0000 0.0000 0.1675
2 Mo 0.0000 0.0000 0.8325
3 Mo 0.5000 0.5000 0.3325
4 Mo 0.5000 0.5000 0.6675
5 Au 0.0000 0.0000 0.5000
6 Au 0.5000 0.5000 0.0000

Total magnetization in μB per atom: 0.000
Energy above the most stable polymorph in this dataset in eV/f.u.: 0.11
Symmetry: Immm (71)
Theoretical density in g/cm3: 13.123

The following is a DFT calculation (PBE) of a geometry-optimized MoAu structure.

a = 6.4780 Å, b = 6.4780 Å, c = 6.4780 Å
α = 90.00°, β = 90.00°, γ = 90.00°
Fractional positions:
1 Mo 0.1250 0.1250 0.1250
2 Mo 0.1250 0.6250 0.6250
3 Mo 0.3750 0.3750 0.8750
4 Mo 0.3750 0.8750 0.3750
5 Mo 0.6250 0.1250 0.6250
6 Mo 0.6250 0.6250 0.1250
7 Mo 0.8750 0.3750 0.3750
8 Mo 0.8750 0.8750 0.8750
9 Au 0.1250 0.1250 0.6250
10 Au 0.1250 0.6250 0.1250
11 Au 0.3750 0.3750 0.3750
12 Au 0.3750 0.8750 0.8750
13 Au 0.6250 0.1250 0.1250
14 Au 0.6250 0.6250 0.6250
15 Au 0.8750 0.3750 0.8750
16 Au 0.8750 0.8750 0.3750

Total magnetization in μB per atom: 0.000
Uncorrected energy in eV per cell: -105.33
Symmetry: Fd-3m (227)
Theoretical density in g/cm3: 14.314

The following is a DFT calculation (PBE) of a geometry-optimized MoAu structure.

a = 4.2830 Å, b = 4.2830 Å, c = 4.9078 Å
α = 90.00°, β = 90.00°, γ = 120.00°
Fractional positions:
1 Mo 0.0000 0.0000 0.0000
2 Mo 0.0000 0.0000 0.5000
3 Au 0.3333 0.6667 0.2500
4 Au 0.6667 0.3333 0.7500

Total magnetization in μB per atom: 0.000
Uncorrected energy in eV per cell: -25.16
Symmetry: P6_3/mmc (194)
Theoretical density in g/cm3: 12.477

The lowest theoretical density belongs to which entry?
number 5